# 1
Entry from Alexandria: a PBEsol-optimized structure of Ca3LaAu (SCAN).

Calculated values
The final energy is -142.78 eV per formula unit. The total magnetization comes out at 0.3 μB/cell. Its density of states at the Fermi level is 1.06 states/eV/atom. As for the formation enthalpy at 0 K: -0.305 eV/atom. The symmetry is Pm-3m.

The structure in POSCAR format:
```
Ca3LaAu
1.0
5.6572 0.0000 0.0000
0.0000 5.6572 0.0000
0.0000 0.0000 5.6572
Ca La Au
3 1 1
direct
0.0000 0.0000 0.5000
0.0000 0.5000 0.0000
0.5000 0.0000 0.0000
0.5000 0.5000 0.5000
0.0000 0.0000 0.0000
```

# 2
Entry from Alexandria: a PBEsol-optimized structure of NaSi2Pd3 (SCAN).

Calculated values
The value obtained for the formation energy without anion corrections is -681 meV per atom. The final energy is -126.66 eV per formula unit. The total magnetization comes out at 0.0 μB/cell. Its density of states at the Fermi level is 0.20 states/eV/atom. The symmetry is Imm2.

The structure in POSCAR format:
```
NaSi2Pd3
1.0
-3.5057 4.8489 2.8411
3.5057 -4.8489 2.8411
3.5057 4.8489 -2.8411
Na Si Pd
2 4 6
direct
0.0000 0.0000 0.0000
0.9385 0.4385 0.5000
0.1920 0.8823 0.3097
0.3610 0.5151 0.8459
0.5726 0.8823 0.6903
0.6692 0.5151 0.1541
0.4543 0.1705 0.7162
0.4543 0.7380 0.2838
0.4601 0.0082 0.0497
0.4601 0.4104 0.4520
0.9584 0.0082 0.5480
0.9584 0.4104 0.9503
```

# 3
Entry from Alexandria: a PBEsol-optimized structure of La5Cd24 (SCAN).

Calculated values
The final energy is -953.15 eV per formula unit. The total magnetization comes out at 0.0 μB/cell. Its density of states at the Fermi level is 0.41 states/eV/atom. As for the formation enthalpy at 0 K: -0.265 eV/atom. The symmetry is I-43m.

The structure in POSCAR format:
```
La5Cd24
1.0
-5.5237 5.5237 5.5237
5.5237 -5.5237 5.5237
5.5237 5.5237 -5.5237
La Cd
5 24
direct
0.0000 0.0000 0.0000
0.0000 0.0000 0.6164
0.0000 0.6164 0.0000
0.3836 0.3836 0.3836
0.6164 0.0000 0.0000
0.0000 0.1932 0.3712
0.0000 0.3712 0.1932
0.0000 0.3803 0.6695
0.0000 0.6695 0.3803
0.1780 0.8068 0.8068
0.1932 0.0000 0.3712
0.1932 0.3712 0.0000
0.2892 0.6197 0.6197
0.3305 0.3305 0.7108
0.3305 0.7108 0.3305
0.3712 0.0000 0.1932
0.3712 0.1932 0.0000
0.3803 0.0000 0.6695
0.3803 0.6695 0.0000
0.6197 0.2892 0.6197
0.6197 0.6197 0.2892
0.6288 0.6288 0.8220
0.6288 0.8220 0.6288
0.6695 0.0000 0.3803
0.6695 0.3803 0.0000
0.7108 0.3305 0.3305
0.8068 0.1780 0.8068
0.8068 0.8068 0.1780
0.8220 0.6288 0.6288
```

# 4
Entry from Alexandria: a PBEsol-optimized structure of CdIn2Te (SCAN).

Calculated values
The value obtained for the formation energy without anion corrections is -10 meV per atom. The final energy is -134.48 eV per formula unit. The total magnetization comes out at 0.0 μB/cell. Its density of states at the Fermi level is 0.36 states/eV/atom. Its distance to the lowest polymorph of the same formula is 0.001 eV/atom. The symmetry is I4/mmm.

The structure in POSCAR format:
```
CdIn2Te
1.0
-2.1606 2.1606 5.6441
2.1606 -2.1606 5.6441
2.1606 2.1606 -5.6441
Cd In Te
1 2 1
direct
0.0000 0.0000 0.0000
0.2500 0.7500 0.5000
0.7500 0.2500 0.5000
0.5000 0.5000 0.0000
```